Entry from the Alexandria database: a relaxed DyPaPd4 crystal (PBE-GGA).

## Properties
calculated volume = 19.0 Å³/atom
energy above the most stable polymorph in this dataset = 161 meV/atom
energy of formation from the pure elements = -0.609 eV/atom
N(E_F) = 1.231 states/eV/atom

abc: 5.440 5.440 5.440
angles: 60.00 60.00 60.00
Sites, in units of the cell vectors:
Dy 0.000 0.000 0.000
Pa 0.750 0.750 0.750
Pd 0.375 0.375 0.375
Pd 0.375 0.375 0.875
Pd 0.375 0.875 0.375
Pd 0.875 0.375 0.375

Entry from the Alexandria database: a relaxed DyPaPd2 crystal (PBE-GGA).

## Properties
calculated volume = 23.9 Å³/atom
energy above the most stable polymorph in this dataset = 60 meV/atom
energy of formation from the pure elements = -0.528 eV/atom
N(E_F) = 0.964 states/eV/atom

abc: 7.587 7.587 7.587
angles: 29.79 29.79 29.79
Sites, in units of the cell vectors:
Dy 0.000 0.000 0.000
Pa 0.500 0.500 0.500
Pd 0.245 0.245 0.245
Pd 0.755 0.755 0.755

Entry from the Alexandria database: a relaxed DyPaPd crystal (PBE-GGA).

## Properties
calculated volume = 24.6 Å³/atom
energy of formation from the pure elements = -0.052 eV/atom
N(E_F) = 1.415 states/eV/atom

abc: 6.944 6.944 7.216
angles: 103.66 103.66 25.98
Sites, in units of the cell vectors:
Dy 0.026 0.026 0.265
Dy 0.974 0.974 0.735
Pa 0.224 0.224 0.649
Pa 0.776 0.776 0.351
Pd 0.162 0.162 0.009
Pd 0.838 0.838 0.991

Entry from the Alexandria database: a relaxed DyPa2Pd9 crystal (PBE-GGA).

## Properties
calculated volume = 17.8 Å³/atom
energy of formation from the pure elements = -0.805 eV/atom
N(E_F) = 0.762 states/eV/atom

abc: 4.150 4.150 12.421
angles: 90.00 90.00 90.00
Sites, in units of the cell vectors:
Dy 0.000 0.000 0.000
Pa 0.000 0.000 0.330
Pa 0.000 0.000 0.670
Pd 0.000 0.500 0.169
Pd 0.000 0.500 0.500
Pd 0.000 0.500 0.831
Pd 0.500 0.000 0.169
Pd 0.500 0.000 0.500
Pd 0.500 0.000 0.831
Pd 0.500 0.500 0.000
Pd 0.500 0.500 0.334
Pd 0.500 0.500 0.666

Entry from the Alexandria database: a relaxed DyPaPd2 crystal (PBE-GGA).

## Properties
calculated volume = 21.8 Å³/atom
energy above the most stable polymorph in this dataset = 42 meV/atom
energy of formation from the pure elements = -0.546 eV/atom
N(E_F) = 1.619 states/eV/atom

abc: 4.975 4.975 4.975
angles: 60.00 60.00 60.00
Sites, in units of the cell vectors:
Dy 0.000 0.000 0.000
Pa 0.500 0.500 0.500
Pd 0.250 0.250 0.250
Pd 0.750 0.750 0.750

Entry from the Alexandria database: a relaxed DyPaRePd crystal (PBE-GGA).

## Properties
calculated volume = 20.9 Å³/atom
energy of formation from the pure elements = -0.254 eV/atom
N(E_F) = 0.996 states/eV/atom

abc: 4.909 4.909 4.909
angles: 60.00 60.00 60.00
Sites, in units of the cell vectors:
Dy 0.000 0.000 0.000
Pa 0.500 0.500 0.500
Re 0.750 0.750 0.750
Pd 0.250 0.250 0.250

> Among the records above, which one has the lowest calculated volume?

DyPa2Pd9